## BeHgIr4 (PBE)

Data for a geometry-optimized BeHgIr4 structure. Values from VASP.

Computed properties:
DOS at the Fermi energy: 6.55 states/eV/f.u.
energy of formation: 639 meV per atom
E: -5.94 eV per atom

Geometry as Quantum ESPRESSO input:
```
&SYSTEM
  ibrav = 0, nat = 6, ntyp = 3
/
ATOMIC_SPECIES
Be 9.01 Be.upf
Hg 200.59 Hg.upf
Ir 192.22 Ir.upf
ATOMIC_POSITIONS angstrom
Be 5.516 5.516 5.516
Hg 0.000 0.000 0.000
Ir 2.761 4.594 4.594
Ir 4.594 4.594 2.761
Ir 4.594 2.761 4.594
Ir 2.761 2.761 2.761
CELL_PARAMETERS angstrom
0.000 3.678 3.678
3.678 0.000 3.678
3.678 3.678 0.000
```